Entry 1:
DFT (GGA-PBE) results for crystalline ZrFe2W at its relaxed geometry.

abc: 4.154 4.154 5.527
angles: 79.88 79.88 42.04
Last column: magnetic moment on the atom in μB.
Element x y z (fractional)
Zr  0.250  0.250  0.250  -0.12
Fe  0.491  0.491  0.550  1.13
Fe  0.009  0.009  0.950  1.13
W  0.750  0.750  0.750  -0.23

- DFT formation energy: 0.314 eV per atom
- D(E_F): 3.83 states/eV/f.u.
- Space group: C2/m, No. 12
- Electronic total energy: -37.17 eV/cell

Entry 2:
DFT (GGA-PBE) results for crystalline Y2Be3NiPt4 at its relaxed geometry.

abc: 3.995 3.995 9.876
angles: 90.00 90.00 90.00
Element x y z (fractional)
Pt  0.500  0.500  0.000
Pt  0.000  0.000  0.000
Pt  0.000  0.500  0.353
Pt  0.500  0.000  0.647
Be  0.000  0.000  0.500
Be  0.500  0.000  0.878
Be  0.000  0.500  0.122
Ni  0.500  0.500  0.500
Y  0.500  0.000  0.251
Y  0.000  0.500  0.749

- DFT formation energy: -0.856 eV per atom
- D(E_F): 5.56 states/eV/f.u.
- Space group: P-4m2, No. 115
- Electronic total energy: -62.61 eV/cell

Question: Which of these has the lowest electronic total energy?
Answer: Y2Be3NiPt4